# 1
ErFeReSi2: optimized geometry, PBE-GGA. Values from VASP.

Calculated values
E_form (uncorrected): -0.552 eV/atom
symmetry: I-4m2, No. 119
crystal system: tetragonal

Cell and atoms, written as Quantum ESPRESSO input:
```
&SYSTEM
  ibrav = 0, nat = 5, ntyp = 4
/
ATOMIC_SPECIES
Si 28.09 Si.upf
Re 186.21 Re.upf
Er 167.26 Er.upf
Fe 55.84 Fe.upf
ATOMIC_POSITIONS crystal
Si 0.620 0.620 0.239
Re 0.250 0.750 0.500
Si 0.380 0.380 0.761
Er 0.000 0.000 0.000
Fe 0.750 0.250 0.500
CELL_PARAMETERS angstrom
-2.424 -2.414 -2.040
3.025 -2.517 -0.616
-1.473 0.002 5.637
```

# 2
ErFeReSi3: optimized geometry, PBE-GGA. Values from VASP.

Calculated values
E_form (uncorrected): -0.204 eV/atom
symmetry: Cmcm, No. 63
crystal system: orthorhombic

Cell and atoms, written as Quantum ESPRESSO input:
```
&SYSTEM
  ibrav = 0, nat = 12, ntyp = 4
/
ATOMIC_SPECIES
Si 28.09 Si.upf
Er 167.26 Er.upf
Re 186.21 Re.upf
Fe 55.84 Fe.upf
ATOMIC_POSITIONS crystal
Si 0.500 0.695 0.000
Er 0.250 0.723 0.446
Si 0.250 0.213 0.426
Re 0.750 0.984 0.967
Si 0.000 0.305 0.000
Re 0.250 0.016 0.033
Fe 0.250 0.397 0.793
Fe 0.750 0.603 0.207
Er 0.750 0.277 0.554
Si 0.500 0.305 0.000
Si 0.750 0.787 0.574
Si 0.000 0.695 0.000
CELL_PARAMETERS angstrom
6.213 0.000 0.000
0.000 5.989 0.000
0.000 -2.994 5.696
```

# 3
ErFe4Rh: optimized geometry, PBE-GGA. Values from VASP.

Calculated values
formation enthalpy at 0 K: -0.11 eV per atom
symmetry: F-43m, No. 216
crystal system: cubic

Cell and atoms, written as Quantum ESPRESSO input:
```
&SYSTEM
  ibrav = 0, nat = 6, ntyp = 3
/
ATOMIC_SPECIES
Fe 55.84 Fe.upf
Er 167.26 Er.upf
Rh 102.91 Rh.upf
ATOMIC_POSITIONS crystal
Fe 0.625 0.625 0.625
Fe 0.625 0.625 0.126
Fe 0.625 0.126 0.625
Er 0.000 0.000 0.000
Rh 0.250 0.250 0.250
Fe 0.126 0.625 0.625
CELL_PARAMETERS angstrom
4.960 0.000 0.000
2.480 4.295 0.000
2.480 1.432 4.050
```

# 4
Er4FeRh: optimized geometry, PBE-GGA. Values from VASP.

Calculated values
formation enthalpy at 0 K: -0.35 eV per atom
symmetry: C2/c, No. 15
crystal system: monoclinic

Cell and atoms, written as Quantum ESPRESSO input:
```
&SYSTEM
  ibrav = 0, nat = 12, ntyp = 3
/
ATOMIC_SPECIES
Er 167.26 Er.upf
Fe 55.84 Fe.upf
Rh 102.91 Rh.upf
ATOMIC_POSITIONS crystal
Er 0.354 0.951 0.649
Fe 0.749 0.999 0.999
Er 0.990 0.766 0.124
Er 0.795 0.698 0.649
Er 0.634 0.358 0.124
Er 0.010 0.234 0.876
Er 0.646 0.049 0.351
Rh 0.613 0.363 0.727
Fe 0.251 0.001 0.001
Er 0.205 0.302 0.351
Er 0.366 0.642 0.876
Rh 0.387 0.637 0.273
CELL_PARAMETERS angstrom
5.785 0.113 -2.010
-2.498 6.263 -3.002
0.105 0.008 7.718
```

# 5
ErFeRh2: optimized geometry, PBE-GGA. Values from VASP.

Calculated values
formation enthalpy at 0 K: -0.41 eV per atom
symmetry: P4/mmm, No. 123
crystal system: tetragonal

Cell and atoms, written as Quantum ESPRESSO input:
```
&SYSTEM
  ibrav = 0, nat = 4, ntyp = 3
/
ATOMIC_SPECIES
Fe 55.84 Fe.upf
Rh 102.91 Rh.upf
Er 167.26 Er.upf
ATOMIC_POSITIONS crystal
Fe 0.500 0.000 0.000
Rh 0.000 0.500 0.000
Rh 0.000 0.000 0.500
Er 0.500 0.500 0.500
CELL_PARAMETERS angstrom
3.433 0.000 0.000
0.000 4.371 0.000
0.000 0.000 4.371
```

# 6
ErFeRh2: optimized geometry, PBE-GGA. Values from VASP.

Calculated values
formation enthalpy at 0 K: -0.39 eV per atom
symmetry: P4/mmm, No. 123
crystal system: tetragonal

Cell and atoms, written as Quantum ESPRESSO input:
```
&SYSTEM
  ibrav = 0, nat = 4, ntyp = 3
/
ATOMIC_SPECIES
Rh 102.91 Rh.upf
Er 167.26 Er.upf
Fe 55.84 Fe.upf
ATOMIC_POSITIONS crystal
Rh 0.000 0.000 0.220
Er 0.500 0.500 0.500
Fe 0.500 0.500 0.000
Rh 0.000 0.000 0.780
CELL_PARAMETERS angstrom
3.235 0.000 0.000
0.000 3.235 0.000
0.000 0.000 6.302
```

# 7
Er2FeRu: optimized geometry, PBE-GGA. Values from VASP.

Calculated values
formation enthalpy at 0 K: -0.15 eV per atom
symmetry: P4/mmm, No. 123
crystal system: tetragonal

Cell and atoms, written as Quantum ESPRESSO input:
```
&SYSTEM
  ibrav = 0, nat = 4, ntyp = 3
/
ATOMIC_SPECIES
Er 167.26 Er.upf
Ru 101.07 Ru.upf
Fe 55.84 Fe.upf
ATOMIC_POSITIONS crystal
Er 0.000 0.000 0.754
Er 0.000 0.000 0.246
Ru 0.500 0.500 0.000
Fe 0.500 0.500 0.500
CELL_PARAMETERS angstrom
3.394 0.000 0.000
0.000 3.394 0.000
0.000 0.000 6.701
```

# 8
ErFe4Ru: optimized geometry, PBE-GGA. Values from VASP.

Calculated values
formation enthalpy at 0 K: -0.01 eV per atom
symmetry: F-43m, No. 216
crystal system: cubic

Cell and atoms, written as Quantum ESPRESSO input:
```
&SYSTEM
  ibrav = 0, nat = 6, ntyp = 3
/
ATOMIC_SPECIES
Fe 55.84 Fe.upf
Er 167.26 Er.upf
Ru 101.07 Ru.upf
ATOMIC_POSITIONS crystal
Fe 0.625 0.126 0.625
Fe 0.126 0.625 0.625
Fe 0.625 0.625 0.625
Fe 0.625 0.625 0.126
Er 0.000 0.000 0.000
Ru 0.250 0.250 0.250
CELL_PARAMETERS angstrom
4.947 0.000 0.000
2.474 4.284 0.000
2.474 1.428 4.039
```

no.,volume (A^3/atom)
1,16.18
2,17.66
3,14.38
4,23.60
5,16.40
6,16.49
7,19.30
8,14.27